## CaSnSbTe2 (PBEsol)

Data for a relaxed CaSnSbTe2 crystal.

Output
- energy relative to the elements, uncorrected (eV/atom) = -0.0110
- N(E_F) (states/eV/cell) = 5.14

Lattice parameters (Å, degrees): 5.506 5.666 5.666 90.00 90.00 90.00
Fractional positions:
Sb  0.500  0.000  0.000
Te  0.000  0.500  0.000
Te  0.000  0.000  0.500
Ca  0.500  0.500  0.500
Sn  0.000  0.000  0.000